Run P
{
  "formula": "TbAgTe3Pb",
  "functional": "GGA-PBE",
  "state": "relaxed",
  "lattice": [[12.4750, 0.0000, 0.0000], [0.0000, 4.5403, 0.0000], [0.0000, 0.0000, 12.7377]],
  "species": ["Tb", "Tb", "Tb", "Tb", "Ag", "Ag", "Ag", "Ag", "Te", "Te", "Te", "Te", "Te", "Te", "Te", "Te", "Te", "Te", "Te", "Te", "Pb", "Pb", "Pb", "Pb"],
  "frac_coords": [[0.0264, 0.2500, 0.1888], [0.4736, 0.7500, 0.6888], [0.5264, 0.2500, 0.3112], [0.9736, 0.7500, 0.8112], [0.2377, 0.7500, 0.2941], [0.2623, 0.2500, 0.7941], [0.7377, 0.7500, 0.2059], [0.7623, 0.2500, 0.7059], [0.0272, 0.7500, 0.3645], [0.0910, 0.2500, 0.9373], [0.2194, 0.7500, 0.6716], [0.2806, 0.2500, 0.1716], [0.4090, 0.7500, 0.4373], [0.4728, 0.2500, 0.8645], [0.5272, 0.7500, 0.1355], [0.5910, 0.2500, 0.5627], [0.7194, 0.7500, 0.8284], [0.7806, 0.2500, 0.3284], [0.9090, 0.7500, 0.0627], [0.9728, 0.2500, 0.6355], [0.1917, 0.2500, 0.4804], [0.3083, 0.7500, 0.9804], [0.6917, 0.2500, 0.0196], [0.8083, 0.7500, 0.5196]],
  "m_tot_mub_per_cell": 0.0,
  "sg": "Pnma"
}

Run Q
{
  "formula": "TbAgTe3Pb",
  "functional": "GGA-PBE",
  "state": "relaxed",
  "lattice": [[2.1692, -7.4357, 0.0000], [2.1692, 7.4357, 0.0000], [0.0000, 0.0000, 11.2865]],
  "species": ["Tb", "Tb", "Ag", "Ag", "Te", "Te", "Te", "Te", "Te", "Te", "Pb", "Pb"],
  "frac_coords": [[0.0000, 0.0000, 0.0000], [0.0000, 0.0000, 0.5000], [0.4703, 0.5297, 0.7500], [0.5297, 0.4703, 0.2500], [0.0934, 0.9066, 0.7500], [0.3541, 0.6459, 0.5543], [0.3541, 0.6459, 0.9457], [0.6459, 0.3541, 0.0543], [0.6459, 0.3541, 0.4457], [0.9066, 0.0934, 0.2500], [0.2315, 0.7685, 0.2500], [0.7685, 0.2315, 0.7500]],
  "m_tot_mub_per_cell": 0.0,
  "sg": "Cmcm"
}

Run R
{
  "formula": "TbAgTe3Pb",
  "functional": "GGA-PBE",
  "state": "relaxed",
  "lattice": [[14.6866, 0.0000, 0.0000], [0.0000, 4.3591, 0.0000], [0.0000, 0.0000, 11.6904]],
  "species": ["Tb", "Tb", "Tb", "Tb", "Ag", "Ag", "Ag", "Ag", "Te", "Te", "Te", "Te", "Te", "Te", "Te", "Te", "Te", "Te", "Te", "Te", "Pb", "Pb", "Pb", "Pb"],
  "frac_coords": [[0.0101, 0.2500, 0.1758], [0.4899, 0.7500, 0.6758], [0.5101, 0.2500, 0.3242], [0.9899, 0.7500, 0.8242], [0.0080, 0.7500, 0.4127], [0.4920, 0.2500, 0.9127], [0.5080, 0.7500, 0.0873], [0.9920, 0.2500, 0.5873], [0.1100, 0.2500, 0.9400], [0.1212, 0.7500, 0.6208], [0.1496, 0.7500, 0.2469], [0.3504, 0.2500, 0.7469], [0.3788, 0.2500, 0.1208], [0.3900, 0.7500, 0.4400], [0.6100, 0.2500, 0.5600], [0.6212, 0.7500, 0.8792], [0.6496, 0.7500, 0.2531], [0.8504, 0.2500, 0.7531], [0.8788, 0.2500, 0.3792], [0.8900, 0.7500, 0.0600], [0.2198, 0.2500, 0.4466], [0.2802, 0.7500, 0.9466], [0.7198, 0.2500, 0.0534], [0.7802, 0.7500, 0.5534]],
  "m_tot_mub_per_cell": 0.0,
  "sg": "Pnma"
}

Run S
{
  "formula": "TbAgTe3Pb",
  "functional": "GGA-PBE",
  "state": "relaxed",
  "lattice": [[9.8535, -2.1733, 0.0000], [9.8535, 2.1733, 0.0000], [-1.8964, 0.0000, 8.8111]],
  "species": ["Tb", "Tb", "Ag", "Ag", "Te", "Te", "Te", "Te", "Te", "Te", "Pb", "Pb"],
  "frac_coords": [[0.1619, 0.1619, 0.0881], [0.8381, 0.8381, 0.9119], [0.4586, 0.4586, 0.7871], [0.5414, 0.5414, 0.2129], [0.0000, 0.0000, 0.0000], [0.3146, 0.3146, 0.6615], [0.3246, 0.3246, 0.1479], [0.5000, 0.5000, 0.5000], [0.6754, 0.6754, 0.8521], [0.6854, 0.6854, 0.3385], [0.1277, 0.1277, 0.5723], [0.8723, 0.8723, 0.4277]],
  "m_tot_mub_per_cell": 0.0,
  "sg": "C2/m"
}

If we sort the structures by their calculated energies, the order from most to least stable is run R, run Q, run S, run P.

Run P
{
  "formula": "TmAgTe3Pb",
  "functional": "GGA-PBE",
  "state": "relaxed",
  "lattice": [[9.0569, 0.0000, 0.0000], [0.0000, 4.5273, 0.0000], [0.0000, 0.0000, 17.7566]],
  "species": ["Tm", "Tm", "Tm", "Tm", "Ag", "Ag", "Ag", "Ag", "Te", "Te", "Te", "Te", "Te", "Te", "Te", "Te", "Te", "Te", "Te", "Te", "Pb", "Pb", "Pb", "Pb"],
  "frac_coords": [[0.2485, 0.2500, 0.0315], [0.2515, 0.7500, 0.5315], [0.7485, 0.2500, 0.4685], [0.7515, 0.7500, 0.9685], [0.1297, 0.7500, 0.8587], [0.3703, 0.2500, 0.3587], [0.6297, 0.7500, 0.6413], [0.8703, 0.2500, 0.1413], [0.0257, 0.7500, 0.0872], [0.1117, 0.2500, 0.4424], [0.1919, 0.7500, 0.7042], [0.3081, 0.2500, 0.2042], [0.3883, 0.7500, 0.9424], [0.4743, 0.2500, 0.5872], [0.5257, 0.7500, 0.4128], [0.6117, 0.2500, 0.0576], [0.6919, 0.7500, 0.7958], [0.8081, 0.2500, 0.2958], [0.8883, 0.7500, 0.5576], [0.9743, 0.2500, 0.9128], [0.0688, 0.7500, 0.2719], [0.4312, 0.2500, 0.7719], [0.5688, 0.7500, 0.2281], [0.9312, 0.2500, 0.7281]],
  "m_tot_mub_per_cell": 0.0,
  "sg": "Pnma"
}

Run Q
{
  "formula": "TmAgTe3Pb",
  "functional": "GGA-PBE",
  "state": "relaxed",
  "lattice": [[14.5981, 0.0000, 0.0000], [0.0000, 4.3311, 0.0000], [0.0000, 0.0000, 11.5779]],
  "species": ["Tm", "Tm", "Tm", "Tm", "Ag", "Ag", "Ag", "Ag", "Te", "Te", "Te", "Te", "Te", "Te", "Te", "Te", "Te", "Te", "Te", "Te", "Pb", "Pb", "Pb", "Pb"],
  "frac_coords": [[0.0106, 0.2500, 0.1756], [0.4894, 0.7500, 0.6756], [0.5106, 0.2500, 0.3244], [0.9894, 0.7500, 0.8244], [0.0084, 0.7500, 0.4128], [0.4916, 0.2500, 0.9128], [0.5084, 0.7500, 0.0872], [0.9916, 0.2500, 0.5872], [0.1074, 0.2500, 0.9400], [0.1212, 0.7500, 0.6235], [0.1489, 0.7500, 0.2440], [0.3511, 0.2500, 0.7440], [0.3788, 0.2500, 0.1235], [0.3926, 0.7500, 0.4400], [0.6074, 0.2500, 0.5600], [0.6212, 0.7500, 0.8765], [0.6489, 0.7500, 0.2560], [0.8511, 0.2500, 0.7560], [0.8788, 0.2500, 0.3765], [0.8926, 0.7500, 0.0600], [0.2208, 0.2500, 0.4475], [0.2792, 0.7500, 0.9475], [0.7208, 0.2500, 0.0525], [0.7792, 0.7500, 0.5525]],
  "m_tot_mub_per_cell": 0.0,
  "sg": "Pnma"
}

If we sort the structures by their calculated energies, the order from most to least stable is run Q, run P.

Run P
{
  "formula": "TmAgTe3Pb",
  "functional": "GGA-PBE",
  "state": "relaxed",
  "lattice": [[12.5714, 0.0000, 0.0000], [0.0000, 4.4858, 0.0000], [0.0000, 0.0000, 12.7940]],
  "species": ["Tm", "Tm", "Tm", "Tm", "Ag", "Ag", "Ag", "Ag", "Te", "Te", "Te", "Te", "Te", "Te", "Te", "Te", "Te", "Te", "Te", "Te", "Pb", "Pb", "Pb", "Pb"],
  "frac_coords": [[0.0254, 0.2500, 0.1865], [0.4746, 0.7500, 0.6865], [0.5254, 0.2500, 0.3135], [0.9746, 0.7500, 0.8135], [0.2378, 0.7500, 0.3005], [0.2622, 0.2500, 0.8005], [0.7378, 0.7500, 0.1995], [0.7622, 0.2500, 0.6995], [0.0247, 0.7500, 0.3606], [0.0885, 0.2500, 0.9354], [0.2303, 0.7500, 0.6708], [0.2697, 0.2500, 0.1708], [0.4115, 0.7500, 0.4354], [0.4753, 0.2500, 0.8606], [0.5247, 0.7500, 0.1394], [0.5885, 0.2500, 0.5646], [0.7303, 0.7500, 0.8292], [0.7697, 0.2500, 0.3292], [0.9115, 0.7500, 0.0646], [0.9753, 0.2500, 0.6394], [0.1888, 0.2500, 0.4855], [0.3112, 0.7500, 0.9855], [0.6888, 0.2500, 0.0145], [0.8112, 0.7500, 0.5145]],
  "m_tot_mub_per_cell": 0.0,
  "sg": "Pnma"
}

Run Q
{
  "formula": "TmAgTe3Pb",
  "functional": "GGA-PBE",
  "state": "relaxed",
  "lattice": [[8.3070, 0.0000, 0.0000], [0.0000, 4.3254, 0.0000], [-3.0400, 0.0000, 10.2125]],
  "species": ["Tm", "Tm", "Ag", "Ag", "Te", "Te", "Te", "Te", "Te", "Te", "Pb", "Pb"],
  "frac_coords": [[0.1972, 0.2500, 0.1698], [0.8028, 0.7500, 0.8302], [0.4150, 0.7500, 0.4085], [0.5850, 0.2500, 0.5915], [0.0755, 0.2500, 0.8684], [0.2101, 0.2500, 0.4599], [0.4476, 0.7500, 0.1542], [0.5524, 0.2500, 0.8458], [0.7899, 0.7500, 0.5401], [0.9245, 0.7500, 0.1316], [0.2382, 0.7500, 0.7041], [0.7618, 0.2500, 0.2959]],
  "m_tot_mub_per_cell": 0.0,
  "sg": "P2_1/m"
}

Run R
{
  "formula": "TmAgTe3Pb",
  "functional": "GGA-PBE",
  "state": "relaxed",
  "lattice": [[2.1580, -7.3993, 0.0000], [2.1580, 7.3993, 0.0000], [0.0000, 0.0000, 11.1917]],
  "species": ["Tm", "Tm", "Ag", "Ag", "Te", "Te", "Te", "Te", "Te", "Te", "Pb", "Pb"],
  "frac_coords": [[0.0000, 0.0000, 0.0000], [0.0000, 0.0000, 0.5000], [0.4691, 0.5309, 0.7500], [0.5309, 0.4691, 0.2500], [0.0925, 0.9075, 0.7500], [0.3556, 0.6444, 0.5505], [0.3556, 0.6444, 0.9495], [0.6444, 0.3556, 0.0505], [0.6444, 0.3556, 0.4495], [0.9075, 0.0925, 0.2500], [0.2313, 0.7687, 0.2500], [0.7687, 0.2313, 0.7500]],
  "m_tot_mub_per_cell": 0.0,
  "sg": "Cmcm"
}

If we sort the structures by their calculated energies, the order from most to least stable is run Q, run R, run P.

Run P
{
  "formula": "TmAgTe3Pb",
  "functional": "GGA-PBE",
  "state": "relaxed",
  "lattice": [[9.7635, -2.1607, 0.0000], [9.7635, 2.1607, 0.0000], [-1.8816, 0.0000, 8.7920]],
  "species": ["Tm", "Tm", "Ag", "Ag", "Te", "Te", "Te", "Te", "Te", "Te", "Pb", "Pb"],
  "frac_coords": [[0.1620, 0.1620, 0.0880], [0.8380, 0.8380, 0.9120], [0.4594, 0.4594, 0.7872], [0.5406, 0.5406, 0.2128], [0.0000, 0.0000, 0.0000], [0.3139, 0.3139, 0.6657], [0.3239, 0.3239, 0.1438], [0.5000, 0.5000, 0.5000], [0.6761, 0.6761, 0.8562], [0.6861, 0.6861, 0.3343], [0.1287, 0.1287, 0.5735], [0.8713, 0.8713, 0.4265]],
  "m_tot_mub_per_cell": 0.0,
  "sg": "C2/m"
}

Run Q
{
  "formula": "TmAgTe3Pb",
  "functional": "GGA-PBE",
  "state": "relaxed",
  "lattice": [[11.2372, 0.0000, 0.0000], [0.0000, 4.3393, 0.0000], [0.0000, 0.0000, 14.6843]],
  "species": ["Tm", "Tm", "Tm", "Tm", "Ag", "Ag", "Ag", "Ag", "Te", "Te", "Te", "Te", "Te", "Te", "Te", "Te", "Te", "Te", "Te", "Te", "Pb", "Pb", "Pb", "Pb"],
  "frac_coords": [[0.0156, 0.2500, 0.2458], [0.4844, 0.7500, 0.7458], [0.5156, 0.2500, 0.2542], [0.9844, 0.7500, 0.7542], [0.2416, 0.2500, 0.7206], [0.2584, 0.7500, 0.2206], [0.7416, 0.2500, 0.7794], [0.7584, 0.7500, 0.2794], [0.0371, 0.2500, 0.6093], [0.0654, 0.7500, 0.1026], [0.2365, 0.7500, 0.8434], [0.2635, 0.2500, 0.3434], [0.4346, 0.2500, 0.6026], [0.4629, 0.7500, 0.1093], [0.5371, 0.2500, 0.8907], [0.5654, 0.7500, 0.3974], [0.7365, 0.7500, 0.6566], [0.7635, 0.2500, 0.1566], [0.9346, 0.2500, 0.8974], [0.9629, 0.7500, 0.3907], [0.2303, 0.7500, 0.5180], [0.2697, 0.2500, 0.0180], [0.7303, 0.7500, 0.9820], [0.7697, 0.2500, 0.4820]],
  "m_tot_mub_per_cell": 0.0,
  "sg": "Pnma"
}

If we sort the structures by their calculated energies, the order from most to least stable is run Q, run P.

Run P
{
  "formula": "Zr3Ag4Pb4",
  "functional": "GGA-PBE",
  "state": "relaxed",
  "lattice": [[-3.2667, 3.2667, 6.5932], [3.2667, -3.2667, 6.5932], [3.2667, 3.2667, -6.5932]],
  "species": ["Zr", "Zr", "Zr", "Ag", "Ag", "Ag", "Ag", "Pb", "Pb", "Pb", "Pb"],
  "frac_coords": [[0.0000, 0.0000, 0.0000], [0.2500, 0.7500, 0.5000], [0.7500, 0.2500, 0.5000], [0.1310, 0.6236, 0.0000], [0.3764, 0.3764, 0.5073], [0.6236, 0.1310, 0.0000], [0.8690, 0.8690, 0.4927], [0.0000, 0.5000, 0.5000], [0.2515, 0.2515, 0.0000], [0.5000, 0.0000, 0.5000], [0.7485, 0.7485, 0.0000]],
  "m_tot_mub_per_cell": 0.0,
  "sg": "I-42m"
}

Run Q
{
  "formula": "Zr3Ag4Pb4",
  "functional": "GGA-PBE",
  "state": "relaxed",
  "lattice": [[6.7724, 0.0000, 0.0000], [0.0000, 4.6486, 0.0000], [-0.2179, 0.0000, 8.2733]],
  "species": ["Zr", "Zr", "Zr", "Ag", "Ag", "Ag", "Ag", "Pb", "Pb", "Pb", "Pb"],
  "frac_coords": [[0.0000, 0.0000, 0.0000], [0.0274, 0.5000, 0.4397], [0.5138, 0.0000, 0.9763], [0.1411, 0.5000, 0.7903], [0.2821, 0.0000, 0.3113], [0.7639, 0.5000, 0.1302], [0.8791, 0.0000, 0.6537], [0.2733, 0.5000, 0.1220], [0.3165, 0.0000, 0.6425], [0.6953, 0.5000, 0.7804], [0.7360, 0.0000, 0.3253]],
  "m_tot_mub_per_cell": 0.0,
  "sg": "Pm"
}

If we sort the structures by their calculated energies, the order from most to least stable is run Q, run P.

Run P
{
  "formula": "PmAgPd",
  "functional": "GGA-PBE",
  "state": "relaxed",
  "lattice": [[0.0000, 3.3932, 3.3932], [3.3932, 0.0000, 3.3932], [3.3932, 3.3932, 0.0000]],
  "species": ["Pm", "Ag", "Pd"],
  "frac_coords": [[0.0000, 0.0000, 0.0000], [0.7500, 0.7500, 0.7500], [0.2500, 0.2500, 0.2500]],
  "m_tot_mub_per_cell": 0.0,
  "sg": "F-43m"
}

Run Q
{
  "formula": "PmAgPd",
  "functional": "GGA-PBE",
  "state": "relaxed",
  "lattice": [[0.0000, 3.3229, 3.3229], [3.3229, 0.0000, 3.3229], [3.3229, 3.3229, 0.0000]],
  "species": ["Pm", "Ag", "Pd"],
  "frac_coords": [[0.0000, 0.0000, 0.0000], [0.5000, 0.5000, 0.5000], [0.7500, 0.7500, 0.7500]],
  "m_tot_mub_per_cell": 0.0,
  "sg": "F-43m"
}

If we sort the structures by their calculated energies, the order from most to least stable is run Q, run P.

Run P
{
  "formula": "RbAgPd",
  "functional": "GGA-PBE",
  "state": "relaxed",
  "lattice": [[0.0000, 3.5142, 3.5142], [3.5142, 0.0000, 3.5142], [3.5142, 3.5142, 0.0000]],
  "species": ["Rb", "Ag", "Pd"],
  "frac_coords": [[0.0000, 0.0000, 0.0000], [0.5000, 0.5000, 0.5000], [0.7500, 0.7500, 0.7500]],
  "sg": "F-43m"
}

Run Q
{
  "formula": "RbAgPd",
  "functional": "GGA-PBE",
  "state": "relaxed",
  "lattice": [[0.0000, 3.6386, 3.6386], [3.6386, 0.0000, 3.6386], [3.6386, 3.6386, 0.0000]],
  "species": ["Rb", "Ag", "Pd"],
  "frac_coords": [[0.0000, 0.0000, 0.0000], [0.7500, 0.7500, 0.7500], [0.2500, 0.2500, 0.2500]],
  "sg": "F-43m"
}

If we sort the structures by their calculated energies, the order from most to least stable is run P, run Q.

Run P
{
  "formula": "TaAgPd",
  "functional": "GGA-PBE",
  "state": "relaxed",
  "lattice": [[0.0000, 3.0730, 3.0730], [3.0730, 0.0000, 3.0730], [3.0730, 3.0730, 0.0000]],
  "species": ["Ta", "Ag", "Pd"],
  "frac_coords": [[0.0000, 0.0000, 0.0000], [0.5000, 0.5000, 0.5000], [0.7500, 0.7500, 0.7500]],
  "m_tot_mub_per_cell": 0.9,
  "sg": "F-43m"
}

Run Q
{
  "formula": "TaAgPd",
  "functional": "GGA-PBE",
  "state": "relaxed",
  "lattice": [[0.0000, 3.1005, 3.1005], [3.1005, 0.0000, 3.1005], [3.1005, 3.1005, 0.0000]],
  "species": ["Ta", "Ag", "Pd"],
  "frac_coords": [[0.0000, 0.0000, 0.0000], [0.7500, 0.7500, 0.7500], [0.2500, 0.2500, 0.2500]],
  "m_tot_mub_per_cell": 0.0,
  "sg": "F-43m"
}

If we sort the structures by their calculated energies, the order from most to least stable is run P, run Q.